The following is a DFT calculation (PBE-GGA) of crystalline PaTaOs at its relaxed geometry.

Properties
* E: -10.62 eV/atom
* SG: F-43m, No. 216
* calculated volume: 22.730 A^3/atom
* energy above the lowest structure with this stoichiometry: 0.000 eV per formula unit

The structure in POSCAR format:
```
PaTaOs
1.0
0.000 3.243 3.243
3.243 0.000 3.243
3.243 3.243 0.000
Pa Ta Os
1 1 1
direct
0.000 0.000 0.000 Pa
0.500 0.500 0.500 Ta
0.250 0.250 0.250 Os
```

=====

The following is a DFT calculation (PBE-GGA) of crystalline ZnBiB2 at its relaxed geometry.

Properties
* E: -2.93 eV/atom
* SG: F-43m, No. 216
* calculated volume: 16.196 A^3/atom

The structure in POSCAR format:
```
ZnBiB2
1.0
0.000 3.188 3.188
3.188 0.000 3.188
3.188 3.188 0.000
Zn Bi B
1 1 2
direct
0.000 0.000 0.000 Zn
0.750 0.750 0.750 Bi
0.250 0.250 0.250 B
0.500 0.500 0.500 B
```

=====

The following is a DFT calculation (PBE-GGA) of crystalline Cu7Ag3 at its relaxed geometry.

Properties
* E: -3.36 eV/atom
* SG: Cm, No. 8
* calculated volume: 13.771 A^3/atom
* energy above the lowest structure with this stoichiometry: 0.415 eV per formula unit

The structure in POSCAR format:
```
Cu7Ag3
1.0
4.266 -1.896 0.000
4.266 1.896 0.000
-0.053 0.000 8.514
Cu Ag
7 3
direct
0.000 0.000 0.000 Cu
0.098 0.098 0.301 Cu
0.310 0.310 0.907 Cu
0.407 0.407 0.202 Cu
0.502 0.502 0.508 Cu
0.593 0.593 0.809 Cu
0.901 0.901 0.721 Cu
0.197 0.197 0.617 Ag
0.701 0.701 0.098 Ag
0.807 0.807 0.406 Ag
```

=====

The following is a DFT calculation (PBE-GGA) of crystalline Rb2LiPdBr6 at its relaxed geometry.

Properties
* E: -2.98 eV/atom
* SG: C2/m, No. 12
* calculated volume: 30.169 A^3/atom

The structure in POSCAR format:
```
Rb2LiPdBr6
1.0
6.519 -3.764 0.000
6.519 3.764 0.000
-4.346 0.000 6.147
Rb Li Pd Br
2 1 1 6
direct
0.250 0.250 0.250 Rb
0.750 0.750 0.750 Rb
0.000 0.000 0.500 Li
0.500 0.500 0.000 Pd
0.256 0.742 0.242 Br
0.257 0.257 0.756 Br
0.258 0.744 0.758 Br
0.742 0.256 0.242 Br
0.743 0.743 0.244 Br
0.744 0.258 0.758 Br
```

=====

The following is a DFT calculation (PBE-GGA) of crystalline HfBeInFe at its relaxed geometry.

Properties
* E: -5.88 eV/atom
* SG: F-43m, No. 216
* calculated volume: 15.390 A^3/atom
* energy above the lowest structure with this stoichiometry: 1.033 eV per formula unit

The structure in POSCAR format:
```
HfBeInFe
1.0
0.000 3.134 3.134
3.134 0.000 3.134
3.134 3.134 0.000
Hf Be In Fe
1 1 1 1
direct
0.000 0.000 0.000 Hf
0.750 0.750 0.750 Be
0.250 0.250 0.250 In
0.500 0.500 0.500 Fe
```

=====

The following is a DFT calculation (PBE-GGA) of crystalline Pr2AgPt at its relaxed geometry.

Properties
* E: -5.31 eV/atom
* SG: P2_1/m, No. 11
* calculated volume: 26.156 A^3/atom

The structure in POSCAR format:
```
Pr2AgPt
1.0
6.004 0.000 0.000
0.000 4.726 0.000
-2.839 0.000 7.375
Pr Ag Pt
4 2 2
direct
0.215 0.250 0.435 Pr
0.238 0.250 0.923 Pr
0.762 0.750 0.077 Pr
0.785 0.750 0.565 Pr
0.326 0.750 0.209 Ag
0.674 0.250 0.791 Ag
0.335 0.750 0.707 Pt
0.665 0.250 0.293 Pt
```